A relaxed Nd4Ho5Er3 crystal, computed with PBE.

Structure (CIF):
```
data_Nd4Ho5Er3
_cell_length_a 16.0978
_cell_length_b 5.9154
_cell_length_c 9.3755
_cell_angle_alpha 90.00
_cell_angle_beta 116.85
_cell_angle_gamma 90.00
_symmetry_space_group_name_H-M 'C 1 2/m 1'
_symmetry_Int_Tables_number 12
loop_
_symmetry_equiv_pos_as_xyz
'x,y,z'
'-x,-y,-z'
'-x,y,-z'
'x,-y,z'
'x+1/2,y+1/2,z'
'-x+1/2,-y+1/2,-z'
'-x+1/2,y+1/2,-z'
'x+1/2,-y+1/2,z'
loop_
_atom_site_label
_atom_site_type_symbol
_atom_site_fract_x
_atom_site_fract_y
_atom_site_fract_z
_atom_site_occupancy
Nd1 Nd 0.0846 0.0000 0.4467 1
Nd2 Nd 0.2165 0.0000 0.8820 1
Ho1 Ho 0.0000 0.0000 0.0000 1
Ho2 Ho 0.0704 0.5000 0.7030 1
Ho3 Ho 0.1708 0.5000 0.3826 1
Er1 Er 0.0000 0.5000 0.0000 1
Er2 Er 0.2128 0.0000 0.2371 1
```

calculated total energy	-4.406	eV/atom
V	797	Å³ per cell